First-principles (PBE) data for a relaxed structure of NdTmCd, as listed in OQMD.

Calculated values
* ΔH_f (0 K): 0.414 eV/atom
* total moment: 0.0 μB per cell
* energy: -2.9636 eV/atom
* space group: F-43m

Lattice parameters (Å, degrees): 5.048 5.048 5.048 60.00 60.00 60.00
Fractional coordinates of all 3 atoms:
Cd 0.250 0.250 0.250
Tm 0.000 0.000 0.000
Nd 0.750 0.750 0.750